Entry 1:
AlZn2Br: optimized geometry, PBE-GGA.

## Properties
VASP energy in eV per formula unit: -7.713
SG: No. 65
Magnetization in μB/atom: 0.000
Polymorph energy (0 for the lowest one) in meV per atom: 256.2
Formation energy from raw total energies in meV/atom: 63

abc: 3.384 3.384 7.465
angles: 90.00 90.00 105.98
Fractional positions:
Al  0.500  0.500  0.250
Zn  0.000  0.000  0.024
Zn  0.000  0.000  0.476
Br  0.500  0.500  0.750


Entry 2:
SrCrPd: optimized geometry, PBE-GGA.

## Properties
Calculated formation energy in eV per atom: 0.110
VASP energy in eV per formula unit: -16.168
SG: No. 2
Magnetization in μB/atom: 0.000
Polymorph energy (0 for the lowest one) in meV per atom: 110.5

abc: 4.162 7.028 6.890
angles: 129.41 99.63 96.90
Fractional positions:
Pd  0.075  0.727  0.369
Pd  0.909  0.604  0.892
Cr  0.689  0.745  0.643
Sr  0.363  0.289  0.955
Cr  0.294  0.586  0.618
Sr  0.621  0.042  0.305


Entry 3:
KAcSnI6: optimized geometry, PBE-GGA.

## Properties
VASP energy in eV per formula unit: -28.913
SG: No. 102
Magnetization in μB/atom: 0.000
Formation energy from raw total energies in meV/atom: -1156

abc: 7.870 7.870 14.897
angles: 90.00 90.00 90.00
Fractional positions:
I  0.290  0.290  0.677
Sn  0.000  0.000  0.666
I  0.706  0.706  0.321
I  0.206  0.794  0.821
Ac  0.000  0.000  0.332
I  0.685  0.685  0.004
Sn  0.500  0.500  0.166
Ac  0.500  0.500  0.832
K  0.000  0.000  0.999
I  0.315  0.315  0.004
I  0.294  0.294  0.321
I  0.790  0.210  0.177
I  0.185  0.815  0.504
I  0.815  0.185  0.504
I  0.794  0.206  0.821
K  0.500  0.500  0.499
I  0.210  0.790  0.177
I  0.710  0.710  0.677


Entry 4:
TiMoSCl2: optimized geometry, PBE-GGA.

## Properties
VASP energy in eV per formula unit: -26.928
SG: No. 123
Magnetization in μB/atom: 1.183
Polymorph energy (0 for the lowest one) in meV per atom: 0.0
Formation energy from raw total energies in meV/atom: -76

abc: 4.798 4.798 4.855
angles: 90.00 90.00 90.00
Each line ends with the local moment (μB).
Fractional positions:
Cl  0.000  0.500  0.000  0.02
S  0.000  0.000  0.500  -0.09
Ti  0.000  0.000  0.000  0.98
Cl  0.500  0.000  0.000  0.02
Mo  0.500  0.500  0.500  3.95


Entry 5:
Sr2Al2Zn: optimized geometry, PBE-GGA.

## Properties
Calculated formation energy in eV per atom: -0.201
VASP energy in eV per formula unit: -13.126
SG: No. 12
Magnetization in μB/atom: 0.000

abc: 4.856 6.113 10.496
angles: 83.98 76.63 66.60
Fractional positions:
Sr  0.911  0.290  0.889
Sr  0.317  0.699  0.667
Al  0.389  0.108  0.114
Sr  0.089  0.710  0.111
Zn  0.372  0.902  0.354
Zn  0.628  0.098  0.646
Sr  0.683  0.301  0.333
Al  0.611  0.892  0.886
Al  0.913  0.728  0.446
Al  0.087  0.272  0.554


Entry 6:
ZnCdSb: optimized geometry, PBE-GGA.

## Properties
VASP energy in eV per formula unit: -5.818
SG: No. 44
Magnetization in μB/atom: 0.000
Polymorph energy (0 for the lowest one) in meV per atom: 125.8
Formation energy from raw total energies in meV/atom: 164

abc: 5.562 5.562 5.562
angles: 145.69 134.63 58.09
Fractional positions:
Cd  0.010  0.010  0.000
Sb  0.327  0.327  0.000
Zn  0.663  0.663  0.000


Entry 7:
MnAgW2: optimized geometry, PBE-GGA.

## Properties
Calculated formation energy in eV per atom: 0.969
VASP energy in eV per formula unit: -34.052
SG: No. 122
Magnetization in μB/atom: 0.845
Polymorph energy (0 for the lowest one) in meV per atom: 642.4

abc: 3.747 3.747 10.165
angles: 79.38 79.38 90.00
Each line ends with the local moment (μB).
Fractional positions:
Ag  0.750  0.250  0.500  0.01
Mn  0.500  0.500  0.000  3.46
W  0.613  0.125  0.250  -0.11
W  0.875  0.863  0.750  -0.10
W  0.375  0.387  0.750  -0.11
Ag  0.000  0.000  0.000  0.01
W  0.137  0.625  0.250  -0.10
Mn  0.250  0.750  0.500  3.46


Entry 8:
Cs2Pb12Au7: optimized geometry, PBE-GGA.

## Properties
Calculated formation energy in eV per atom: -0.129
VASP energy in eV per formula unit: -71.853
SG: No. 147
Magnetization in μB/atom: 0.000

abc: 4.774 12.242 12.242
angles: 120.00 90.00 90.00
Fractional positions:
Pb  0.251  0.124  0.259
Au  0.742  0.301  0.402
Pb  0.749  0.259  0.135
Au  0.742  0.598  0.899
Pb  0.251  0.135  0.876
Pb  0.754  0.562  0.630
Cs  0.749  0.667  0.333
Au  0.258  0.899  0.301
Au  0.258  0.699  0.598
Au  0.258  0.402  0.101
Pb  0.251  0.741  0.865
Pb  0.246  0.932  0.562
Pb  0.749  0.876  0.741
Cs  0.251  0.333  0.667
Pb  0.754  0.370  0.932
Au  0.500  0.000  0.000
Pb  0.246  0.438  0.370
Pb  0.749  0.865  0.124
Pb  0.246  0.630  0.068
Pb  0.754  0.068  0.438
Au  0.742  0.101  0.699


Entry 9:
ErNiH3: optimized geometry, PBE-GGA.

## Properties
VASP energy in eV per formula unit: -22.933
SG: No. 8
Magnetization in μB/atom: 0.000

abc: 3.598 4.574 5.849
angles: 92.02 107.92 90.02
Fractional positions:
H  0.597  0.767  0.548
H  0.378  0.226  0.111
Er  0.201  0.973  0.757
H  0.758  0.219  0.872
H  0.144  0.455  0.643
Er  0.933  0.466  0.222
H  0.373  0.723  0.101
Ni  0.644  0.434  0.642
H  0.990  0.981  0.335
Ni  0.481  0.980  0.317


Entry 10:
BeCIN2: optimized geometry, PBE-GGA.

## Properties
VASP energy in eV per formula unit: -20.247
SG: No. 123
Magnetization in μB/atom: 0.000
Polymorph energy (0 for the lowest one) in meV per atom: 186.4
Formation energy from raw total energies in meV/atom: 2181

abc: 3.291 3.291 6.566
angles: 90.00 90.00 90.00
Fractional positions:
N  0.500  0.000  0.000
Be  0.500  0.500  0.500
C  0.000  0.000  0.000
I  0.000  0.000  0.500
N  0.000  0.500  0.000


Entry 11:
AcNdDy2Bi4: optimized geometry, PBE-GGA.

## Properties
Calculated formation energy in eV per atom: -0.899
VASP energy in eV per formula unit: -40.798
SG: No. 10
Magnetization in μB/atom: 0.000

abc: 4.619 7.981 7.999
angles: 70.52 90.00 90.00
Fractional positions:
Dy  0.000  0.000  0.000
Bi  0.000  0.768  0.737
Bi  0.500  0.764  0.252
Bi  0.000  0.232  0.263
Dy  0.500  0.000  0.500
Bi  0.500  0.236  0.748
Ac  0.500  0.500  0.000
Nd  0.000  0.500  0.500


Entry 12:
ErGa7Co5: optimized geometry, PBE-GGA.

## Properties
Calculated formation energy in eV per atom: -0.346
VASP energy in eV per formula unit: -65.780
SG: No. 44
Magnetization in μB/atom: 0.016

abc: 5.091 6.498 6.498
angles: 82.00 66.94 66.94
Each line ends with the local moment (μB).
Fractional positions:
Co  0.733  0.767  0.767  0.14
Co  0.490  0.492  0.006  0.02
Ga  0.268  0.232  0.232  0.00
Ga  0.339  0.661  0.661  0.00
Co  0.490  0.006  0.492  0.02
Ga  0.515  0.184  0.786  0.00
Ga  0.980  0.679  0.360  0.00
Co  0.011  0.492  0.006  0.02
Er  0.006  0.994  0.994  -0.01
Ga  0.660  0.340  0.340  0.00
Ga  0.980  0.360  0.679  0.00
Ga  0.515  0.786  0.184  0.00
Co  0.011  0.006  0.492  0.02


Entry 13:
Ho2PuTl: optimized geometry, PBE-GGA.

## Properties
Calculated formation energy in eV per atom: -0.025
VASP energy in eV per formula unit: -25.952
SG: No. 166
Magnetization in μB/atom: 1.519
Polymorph energy (0 for the lowest one) in meV per atom: 49.9

abc: 3.501 3.501 11.024
angles: 80.86 80.86 60.00
Each line ends with the local moment (μB).
Fractional positions:
Ho  0.748  0.748  0.757  -0.09
Tl  0.000  0.000  0.000  0.00
Pu  0.500  0.500  0.500  -5.48
Ho  0.252  0.252  0.243  -0.09


Entry 14:
YEr3Sc6: optimized geometry, PBE-GGA.

## Properties
Calculated formation energy in eV per atom: 0.408
VASP energy in eV per formula unit: -54.061
SG: No. 146
Magnetization in μB/atom: 0.001

abc: 9.223 9.223 6.529
angles: 45.06 45.06 60.00
Fractional positions:
Sc  0.418  0.746  0.761
Sc  0.251  0.921  0.255
Sc  0.076  0.418  0.761
Sc  0.574  0.251  0.255
Er  0.625  0.625  0.124
Sc  0.921  0.574  0.255
Y  0.882  0.882  0.354
Sc  0.746  0.076  0.761
Er  0.127  0.127  0.620
Er  0.382  0.382  0.855


Entry 15:
Ac2RhS: optimized geometry, PBE-GGA.

## Properties
VASP energy in eV per formula unit: -24.879
SG: No. 166
Magnetization in μB/atom: 0.000
Polymorph energy (0 for the lowest one) in meV per atom: 23.8
Formation energy from raw total energies in meV/atom: -1296

abc: 4.266 4.266 7.892
angles: 74.32 74.32 60.00
Fractional positions:
S  0.500  0.500  0.500
Ac  0.745  0.745  0.766
Ac  0.255  0.255  0.234
Rh  0.000  0.000  0.000


Entry 16:
ReSbI2F: optimized geometry, PBE-GGA.

## Properties
VASP energy in eV per formula unit: -19.464
SG: No. 123
Magnetization in μB/atom: 0.000
Polymorph energy (0 for the lowest one) in meV per atom: 0.0
Formation energy from raw total energies in meV/atom: 416

abc: 5.428 5.428 5.139
angles: 90.00 90.00 90.00
Fractional positions:
F  0.500  0.500  0.500
Re  0.000  0.000  0.000
I  0.500  0.000  0.000
Sb  0.000  0.000  0.500
I  0.000  0.500  0.000


Entry 17:
LiCr2As: optimized geometry, PBE-GGA.

## Properties
Calculated formation energy in eV per atom: 0.001
VASP energy in eV per formula unit: -25.805
SG: No. 123
Magnetization in μB/atom: 0.001

abc: 3.767 3.763 3.932
angles: 90.00 90.00 90.00
Each line ends with the local moment (μB).
Fractional positions:
As  0.000  0.500  0.500  0.00
Cr  0.500  0.500  0.000  -3.01
Li  0.500  0.000  0.500  0.00
Cr  0.000  0.000  0.000  3.01


Entry 18:
Er3Sc4Co4: optimized geometry, PBE-GGA.

## Properties
Calculated formation energy in eV per atom: -0.208
VASP energy in eV per formula unit: -69.729
SG: No. 71
Magnetization in μB/atom: 0.012

abc: 3.523 8.392 8.606
angles: 119.18 101.81 90.00
Each line ends with the local moment (μB).
Fractional positions:
Co  0.500  0.211  0.000  0.18
Co  0.759  0.259  0.518  0.00
Co  0.241  0.741  0.482  0.00
Sc  0.333  0.518  0.666  -0.02
Co  0.500  0.789  0.000  0.18
Er  0.108  0.108  0.216  -0.03
Sc  0.667  0.482  0.334  -0.02
Sc  0.333  0.148  0.666  -0.02
Er  0.000  0.500  0.000  -0.05
Er  0.892  0.892  0.784  -0.03
Sc  0.667  0.852  0.334  -0.02


Entry 19:
GdThTcNi: optimized geometry, PBE-GGA.

## Properties
Calculated formation energy in eV per atom: -0.165
VASP energy in eV per formula unit: -38.308
SG: No. 216
Magnetization in μB/atom: 1.753

abc: 4.926 4.926 4.926
angles: 60.00 60.00 60.00
Each line ends with the local moment (μB).
Fractional positions:
Tc  0.750  0.750  0.750  -0.15
Gd  0.500  0.500  0.500  7.03
Th  0.000  0.000  0.000  0.01
Ni  0.250  0.250  0.250  0.00


Entry 20:
HfAuBr3: optimized geometry, PBE-GGA.

## Properties
VASP energy in eV per formula unit: -15.329
SG: No. 221
Magnetization in μB/atom: 0.447
Polymorph energy (0 for the lowest one) in meV per atom: 913.0
Formation energy from raw total energies in meV/atom: 584

abc: 5.317 5.317 5.317
angles: 90.00 90.00 90.00
Each line ends with the local moment (μB).
Fractional positions:
Au  0.000  0.000  0.000  0.01
Br  0.500  0.000  0.000  0.00
Br  0.000  0.000  0.500  0.02
Br  0.000  0.500  0.000  0.01
Hf  0.500  0.500  0.500  1.35


Entry 21:
CrSbPb2: optimized geometry, PBE-GGA.

## Properties
VASP energy in eV per formula unit: -19.680
SG: No. 119
Magnetization in μB/atom: 1.063
Formation energy from raw total energies in meV/atom: 371

abc: 5.758 5.758 5.758
angles: 130.92 130.92 71.95
Each line ends with the local moment (μB).
Fractional positions:
Pb  0.250  0.750  0.500  0.00
Pb  0.000  0.000  0.000  -0.03
Cr  0.750  0.250  0.500  3.90
Sb  0.500  0.500  0.000  -0.06


Entry 22:
TaMoAu2: optimized geometry, PBE-GGA.

## Properties
Calculated formation energy in eV per atom: 0.278
VASP energy in eV per formula unit: -28.125
SG: No. 123
Magnetization in μB/atom: 0.001
Polymorph energy (0 for the lowest one) in meV per atom: 249.6

abc: 3.550 3.550 5.550
angles: 90.00 90.00 90.00
Fractional positions:
Au  0.000  0.000  0.500
Mo  0.500  0.500  0.250
Au  0.000  0.000  0.000
Ta  0.500  0.500  0.750


Entry 23:
Y2ErIr2: optimized geometry, PBE-GGA.

## Properties
Calculated formation energy in eV per atom: -0.433
VASP energy in eV per formula unit: -37.378
SG: No. 63
Magnetization in μB/atom: 0.000

abc: 5.514 5.993 7.815
angles: 112.55 90.00 90.00
Fractional positions:
Er  0.500  0.000  0.000
Ir  0.250  0.617  0.755
Y  0.750  0.420  0.840
Er  0.000  0.000  0.000
Ir  0.750  0.862  0.245
Ir  0.250  0.138  0.755
Ir  0.750  0.383  0.245
Y  0.250  0.580  0.160
Y  0.750  0.782  0.563
Y  0.250  0.218  0.437


Entry 24:
Sr3Ir: optimized geometry, PBE-GGA.

## Properties
Calculated formation energy in eV per atom: 0.243
VASP energy in eV per formula unit: -12.935
SG: No. 139
Magnetization in μB/atom: 0.000

abc: 5.541 5.541 5.541
angles: 118.71 118.71 92.24
Fractional positions:
Sr  0.250  0.750  0.500
Ir  0.000  0.000  0.000
Sr  0.500  0.500  0.000
Sr  0.750  0.250  0.500


Entry 25:
NbHgPCl2: optimized geometry, PBE-GGA.

## Properties
VASP energy in eV per formula unit: -14.755
SG: No. 123
Magnetization in μB/atom: 0.470
Polymorph energy (0 for the lowest one) in meV per atom: 1246.0
Formation energy from raw total energies in meV/atom: 944

abc: 5.109 5.109 5.097
angles: 90.00 90.00 90.00
Each line ends with the local moment (μB).
Fractional positions:
Cl  0.500  0.000  0.000  -0.04
Hg  0.000  0.000  0.000  0.00
P  0.000  0.000  0.500  -0.38
Nb  0.500  0.500  0.500  2.67
Cl  0.000  0.500  0.000  -0.04